(1)
Density functional theory data (PBE-GGA) for an optimized crystal structure of Sm12Re3H5.

## Properties
Calculated total energy   -5.61 eV per atom

a = 15.4809 Å, b = 15.4809 Å, c = 15.4809 Å
α = 90.00°, β = 90.00°, γ = 90.00°
Closest atoms and distances in Å follow each position.
Space group Ia-3d (No. 230)
Symmetry-distinct sites (fractional):
Sm1 0.0319 0.0622 0.6554 x96  1 H 2.27
Re1 0.0000 0.2500 0.1250 x24  8 Sm 2.99-3.00
H1 0.0000 0.0000 0.0000 x16  6 Sm 2.64
H2 0.0000 0.2500 0.3750 x24  4 Sm 2.27



(2)
Density functional theory data (PBE-GGA) for an optimized crystal structure of SmReH5.

## Properties
Calculated total energy   -4.86 eV per atom

a = 5.3727 Å, b = 7.0705 Å, c = 3.8566 Å
α = 90.00°, β = 90.00°, γ = 90.00°
Closest atoms and distances in Å follow each position.
Space group Imm2 (No. 44)
Symmetry-distinct sites (fractional):
Sm1 0.0000 0.0000 0.0000 x2  6 H 2.15-2.24
Re1 0.0000 0.5000 0.9717 x2  4 H 1.68-1.71
H1 0.0000 0.2900 0.7692 x4  1 Re 1.68
H2 0.0000 0.5000 0.4701 x2  2 H 1.88, 2 Re 1.92-1.93
H3 0.1815 0.0000 0.4966 x4  1 Re 1.71



(3)
Density functional theory data (PBE-GGA) for an optimized crystal structure of ReSn2H5.

## Properties
Calculated total energy   -4.57 eV per atom

a = 8.8461 Å, b = 4.7551 Å, c = 5.3699 Å
α = 90.00°, β = 123.97°, γ = 90.00°
Closest atoms and distances in Å follow each position.
Space group Cm (No. 8)
Symmetry-distinct sites (fractional):
Re1 0.0000 0.0000 0.0000 x2  5 H 1.69-1.72
Sn1 0.0153 0.5000 0.7376 x2  1 H 2.16
Sn2 0.3520 0.0000 0.1031 x2  6 H 2.46-2.70
H1 0.1471 0.2167 0.2849 x4  1 Re 1.69
H2 0.2665 0.5000 0.7596 x2  1 Re 1.72, 1 H 1.81
H3 0.4132 0.5000 0.6242 x2  1 Re 1.71, 1 H 1.81
H4 0.4280 0.5000 0.2351 x2  1 Re 1.70



(4)
Density functional theory data (PBE-GGA) for an optimized crystal structure of Re2SnH.

## Properties
Polymorph energy (0 for the lowest one)   0 kJ/mol of formula units

a = 4.9418 Å, b = 4.9418 Å, c = 10.0739 Å
α = 90.00°, β = 90.00°, γ = 90.00°
Closest atoms and distances in Å follow each position.
Space group I-42d (No. 122)
Symmetry-distinct sites (fractional):
Re1 0.0360 0.2500 0.1250 x8  2 H 1.77
Sn1 0.0000 0.0000 0.5000 x4  8 Re 2.89-3.18
H1 0.0000 0.0000 0.0000 x4  4 Re 1.77



(5)
Density functional theory data (PBE-GGA) for an optimized crystal structure of Re2SnH.

## Properties
Polymorph energy (0 for the lowest one)   244 kJ/mol of formula units

a = 6.1698 Å, b = 6.1698 Å, c = 6.1698 Å
α = 90.00°, β = 90.00°, γ = 90.00°
Closest atoms and distances in Å follow each position.
Space group Fm-3m (No. 225)
Symmetry-distinct sites (fractional):
Re1 0.2500 0.2500 0.2500 x8  4 H 2.67, 4 Sn 2.67
Sn1 0.0000 0.0000 0.0000 x4  8 Re 2.67
H1 0.0000 0.0000 0.5000 x4  8 Re 2.67



(6)
Density functional theory data (PBE-GGA) for an optimized crystal structure of ReSnH3.

## Properties
Calculated total energy   -4.77 eV per atom

a = 3.6683 Å, b = 3.6683 Å, c = 3.6683 Å
α = 90.00°, β = 90.00°, γ = 90.00°
Closest atoms and distances in Å follow each position.
Space group Pm-3m (No. 221)
Symmetry-distinct sites (fractional):
Re1 0.0000 0.0000 0.0000 x1  6 H 1.83
Sn1 0.5000 0.5000 0.5000 x1  12 H 2.59
H1 0.0000 0.0000 0.5000 x3  2 Re 1.83